# NiI3O (PBE with a Hubbard U, relaxed)
# DOS(E_F), states/eV/cell: 9.0
# Energy relative to the lowest polymorph listed for this composition, meV/atom: 0.0
data_NiI3O
_chemical_formula_sum 'Ni1 I3 O1'
_symmetry_space_group_name_H-M 'P m -3 m'
_symmetry_Int_Tables_number 221
_symmetry_space_group_name_Hall '-P 4 2 3'
_cell_length_a 5.184
_cell_length_b 5.184
_cell_length_c 5.184
_cell_angle_alpha 90.00
_cell_angle_beta 90.00
_cell_angle_gamma 90.00
loop_
_atom_site_label
_atom_site_type_symbol
_atom_site_fract_x
_atom_site_fract_y
_atom_site_fract_z
_atom_site_occupancy
Ni1 Ni 0.000 0.000 0.000 1
I1 I 0.000 0.000 0.500 1
O1 O 0.500 0.500 0.500 1